# 1
A plane-wave DFT calculation with PBEsol was carried out for an optimized crystal structure of Nb2Zn3O8.

Cell and atoms, written as CIF:
```
data_Nb2Zn3O8
_chemical_formula_sum 'Nb4 Zn6 O16'
_cell_length_a 5.200
_cell_length_b 5.901
_cell_length_c 9.982
_cell_angle_alpha 107.19
_cell_angle_beta 90.23
_cell_angle_gamma 90.00
_symmetry_space_group_name_H-M 'P 1'
_symmetry_Int_Tables_number 1
_symmetry_space_group_name_Hall 'P 1'
loop_
_atom_site_label
_atom_site_type_symbol
_atom_site_fract_x
_atom_site_fract_y
_atom_site_fract_z
_atom_site_occupancy
Zn1 Zn 0.259 0.876 0.444 1
Zn2 Zn 0.250 0.651 0.000 1
Zn3 Zn 0.741 0.124 0.556 1
Zn4 Zn 0.241 0.432 0.556 1
Zn5 Zn 0.750 0.349 0.000 1
Zn6 Zn 0.759 0.568 0.444 1
O1 O 0.871 0.450 0.614 1
O2 O 0.129 0.550 0.386 1
O3 O 0.057 0.080 0.362 1
O4 O 0.579 0.047 0.862 1
O5 O 0.421 0.953 0.138 1
O6 O 0.943 0.920 0.638 1
O7 O 0.917 0.680 0.116 1
O8 O 0.083 0.320 0.884 1
O9 O 0.557 0.282 0.362 1
O10 O 0.629 0.836 0.386 1
O11 O 0.443 0.718 0.638 1
O12 O 0.921 0.184 0.138 1
O13 O 0.079 0.816 0.862 1
O14 O 0.371 0.164 0.614 1
O15 O 0.417 0.436 0.116 1
O16 O 0.583 0.564 0.884 1
Nb1 Nb 0.239 0.050 0.771 1
Nb2 Nb 0.739 0.721 0.771 1
Nb3 Nb 0.761 0.950 0.229 1
Nb4 Nb 0.261 0.279 0.229 1
```

## Properties
Total magnetization = 0.00 Bohr magnetons per cell
DOS at the Fermi energy = 0.00 states/eV/f.u.
Uncorrected formation energy = -2020 meV/atom
Space group = C2/c, No. 15



# 2
A plane-wave DFT calculation with PBEsol was carried out for an optimized crystal structure of NbCdTe2N.

Cell and atoms, written as CIF:
```
data_NbCdTe2N
_chemical_formula_sum 'Nb1 Cd1 Te2 N1'
_cell_length_a 3.895
_cell_length_b 5.536
_cell_length_c 5.536
_cell_angle_alpha 90.00
_cell_angle_beta 90.00
_cell_angle_gamma 90.00
_symmetry_space_group_name_H-M 'P 1'
_symmetry_Int_Tables_number 1
_symmetry_space_group_name_Hall 'P 1'
loop_
_atom_site_label
_atom_site_type_symbol
_atom_site_fract_x
_atom_site_fract_y
_atom_site_fract_z
_atom_site_occupancy
Te1 Te 0.000 0.500 0.000 1
Te2 Te 0.000 0.000 0.500 1
Cd1 Cd 0.500 0.500 0.500 1
Nb1 Nb 0.000 0.000 0.000 1
N1 N 0.500 0.000 0.000 1
```

## Properties
Total magnetization = 0.00 Bohr magnetons per cell
DOS at the Fermi energy = 3.85 states/eV/f.u.
Uncorrected formation energy = 84 meV/atom
Space group = P4/mmm, No. 123



# 3
A plane-wave DFT calculation with PBEsol was carried out for an optimized crystal structure of Li4Ti2Mn3Ni3O16.

Cell and atoms, written as CIF:
```
data_Li4Ti2Mn3Ni3O16
_chemical_formula_sum 'Li4 Ti2 Mn3 Ni3 O16'
_cell_length_a 5.661
_cell_length_b 5.728
_cell_length_c 9.335
_cell_angle_alpha 91.56
_cell_angle_beta 90.00
_cell_angle_gamma 119.61
_symmetry_space_group_name_H-M 'P 1'
_symmetry_Int_Tables_number 1
_symmetry_space_group_name_Hall 'P 1'
loop_
_atom_site_label
_atom_site_type_symbol
_atom_site_fract_x
_atom_site_fract_y
_atom_site_fract_z
_atom_site_occupancy
O1 O 0.659 0.813 0.403 1
O2 O 0.996 0.992 0.197 1
O3 O 0.824 0.155 0.905 1
O4 O 0.494 0.530 0.660 1
O5 O 0.837 0.675 0.897 1
O6 O 0.995 0.989 0.693 1
O7 O 0.530 0.501 0.156 1
O8 O 0.342 0.683 0.894 1
O9 O 0.159 0.319 0.404 1
O10 O 0.331 0.155 0.905 1
O11 O 0.525 0.049 0.162 1
O12 O 0.671 0.342 0.388 1
O13 O 0.035 0.530 0.660 1
O14 O 0.154 0.813 0.403 1
O15 O 0.970 0.501 0.156 1
O16 O 0.481 0.962 0.668 1
Ti1 Ti 0.328 0.656 0.503 1
Ti2 Ti 0.668 0.335 0.007 1
Mn1 Mn 0.658 0.826 0.785 1
Mn2 Mn 0.167 0.826 0.785 1
Mn3 Mn 0.828 0.655 0.282 1
Li1 Li 0.666 0.331 0.602 1
Li2 Li 0.997 0.994 0.503 1
Li3 Li 0.341 0.681 0.106 1
Li4 Li 0.005 0.011 0.008 1
Ni1 Ni 0.830 0.170 0.286 1
Ni2 Ni 0.340 0.170 0.286 1
Ni3 Ni 0.171 0.342 0.788 1
```

## Properties
Total magnetization = 13.07 Bohr magnetons per cell
DOS at the Fermi energy = 4.74 states/eV/f.u.
Uncorrected formation energy = -1851 meV/atom
Space group = Cm, No. 8



# 4
A plane-wave DFT calculation with PBEsol was carried out for an optimized crystal structure of Mg3Si2H4O9.

Cell and atoms, written as CIF:
```
data_Mg3Si2H4O9
_chemical_formula_sum 'Mg3 Si2 H4 O9'
_cell_length_a 5.327
_cell_length_b 5.327
_cell_length_c 7.235
_cell_angle_alpha 90.00
_cell_angle_beta 90.00
_cell_angle_gamma 120.00
_symmetry_space_group_name_H-M 'P 1'
_symmetry_Int_Tables_number 1
_symmetry_space_group_name_Hall 'P 1'
loop_
_atom_site_label
_atom_site_type_symbol
_atom_site_fract_x
_atom_site_fract_y
_atom_site_fract_z
_atom_site_occupancy
H1 H 0.000 0.353 0.270 1
H2 H 0.000 0.000 0.827 1
H3 H 0.353 0.000 0.270 1
H4 H 0.647 0.647 0.270 1
O1 O 0.667 0.333 0.703 1
O2 O 0.000 0.000 0.693 1
O3 O 0.664 0.664 0.404 1
O4 O 0.333 0.667 0.703 1
O5 O 0.336 0.000 0.404 1
O6 O 0.000 0.484 0.010 1
O7 O 0.484 0.000 0.010 1
O8 O 0.000 0.336 0.404 1
O9 O 0.516 0.516 0.010 1
Si1 Si 0.667 0.333 0.924 1
Si2 Si 0.333 0.667 0.924 1
Mg1 Mg 0.331 0.331 0.538 1
Mg2 Mg 0.669 0.000 0.538 1
Mg3 Mg 0.000 0.669 0.538 1
```

## Properties
Total magnetization = 0.00 Bohr magnetons per cell
DOS at the Fermi energy = 0.00 states/eV/f.u.
E_tot = -117.849 eV/cell
Space group = P31m, No. 157



# 5
A plane-wave DFT calculation with PBEsol was carried out for an optimized crystal structure of In2Ir.

Cell and atoms, written as CIF:
```
data_In2Ir
_chemical_formula_sum 'In4 Ir2'
_cell_length_a 5.358
_cell_length_b 5.358
_cell_length_c 5.358
_cell_angle_alpha 106.48
_cell_angle_beta 106.48
_cell_angle_gamma 115.63
_symmetry_space_group_name_H-M 'P 1'
_symmetry_Int_Tables_number 1
_symmetry_space_group_name_Hall 'P 1'
loop_
_atom_site_label
_atom_site_type_symbol
_atom_site_fract_x
_atom_site_fract_y
_atom_site_fract_z
_atom_site_occupancy
Ir1 Ir 0.250 0.250 0.000 1
Ir2 Ir 0.750 0.750 0.000 1
In1 In 0.328 0.828 0.156 1
In2 In 0.172 0.328 0.500 1
In3 In 0.672 0.172 0.844 1
In4 In 0.828 0.672 0.500 1
```

## Properties
Total magnetization = 0.00 Bohr magnetons per cell
DOS at the Fermi energy = 1.37 states/eV/f.u.
Energy of formation = -0.164 eV/atom
Space group = I4/mcm, No. 140



# 6
A plane-wave DFT calculation with PBEsol was carried out for an optimized crystal structure of MnCrAs3.

Cell and atoms, written as CIF:
```
data_MnCrAs3
_chemical_formula_sum 'Mn1 Cr1 As3'
_cell_length_a 4.579
_cell_length_b 4.579
_cell_length_c 4.579
_cell_angle_alpha 90.00
_cell_angle_beta 90.00
_cell_angle_gamma 90.00
_symmetry_space_group_name_H-M 'P 1'
_symmetry_Int_Tables_number 1
_symmetry_space_group_name_Hall 'P 1'
loop_
_atom_site_label
_atom_site_type_symbol
_atom_site_fract_x
_atom_site_fract_y
_atom_site_fract_z
_atom_site_occupancy
As1 As 0.000 0.000 0.500 1
As2 As 0.000 0.500 0.000 1
As3 As 0.500 0.000 0.000 1
Cr1 Cr 0.500 0.500 0.500 1
Mn1 Mn 0.000 0.000 0.000 1
```

## Properties
Total magnetization = 5.79 Bohr magnetons per cell
DOS at the Fermi energy = 3.09 states/eV/f.u.
Energy of formation = 0.621 eV/atom
Space group = Pm-3m, No. 221



# 7
A plane-wave DFT calculation with PBEsol was carried out for an optimized crystal structure of ZrPRu2.

Cell and atoms, written as CIF:
```
data_ZrPRu2
_chemical_formula_sum 'Zr1 P1 Ru2'
_cell_length_a 2.989
_cell_length_b 4.277
_cell_length_c 4.774
_cell_angle_alpha 90.00
_cell_angle_beta 103.22
_cell_angle_gamma 90.00
_symmetry_space_group_name_H-M 'P 1'
_symmetry_Int_Tables_number 1
_symmetry_space_group_name_Hall 'P 1'
loop_
_atom_site_label
_atom_site_type_symbol
_atom_site_fract_x
_atom_site_fract_y
_atom_site_fract_z
_atom_site_occupancy
Zr1 Zr 0.537 0.000 0.519 1
Ru1 Ru 0.744 0.500 0.207 1
Ru2 Ru 0.140 0.000 0.000 1
P1 P 0.079 0.500 0.775 1
```

## Properties
Total magnetization = 0.00 Bohr magnetons per cell
DOS at the Fermi energy = 2.71 states/eV/f.u.
Energy of formation = -0.438 eV/atom
Space group = Pm, No. 6



# 8
A plane-wave DFT calculation with PBEsol was carried out for an optimized crystal structure of Al3TlPb.

Cell and atoms, written as CIF:
```
data_Al3TlPb
_chemical_formula_sum 'Al3 Tl1 Pb1'
_cell_length_a 5.192
_cell_length_b 5.192
_cell_length_c 5.192
_cell_angle_alpha 90.00
_cell_angle_beta 90.00
_cell_angle_gamma 90.00
_symmetry_space_group_name_H-M 'P 1'
_symmetry_Int_Tables_number 1
_symmetry_space_group_name_Hall 'P 1'
loop_
_atom_site_label
_atom_site_type_symbol
_atom_site_fract_x
_atom_site_fract_y
_atom_site_fract_z
_atom_site_occupancy
Al1 Al 0.500 0.000 0.000 1
Al2 Al 0.000 0.500 0.000 1
Al3 Al 0.000 0.000 0.500 1
Pb1 Pb 0.500 0.500 0.500 1
Tl1 Tl 0.000 0.000 0.000 1
```

## Properties
Total magnetization = 0.00 Bohr magnetons per cell
DOS at the Fermi energy = 3.08 states/eV/f.u.
Energy of formation = 0.825 eV/atom
Space group = Pm-3m, No. 221



# 9
A plane-wave DFT calculation with PBEsol was carried out for an optimized crystal structure of PrTeCl.

Cell and atoms, written as CIF:
```
data_PrTeCl
_chemical_formula_sum 'Pr2 Te2 Cl2'
_cell_length_a 4.427
_cell_length_b 4.427
_cell_length_c 8.179
_cell_angle_alpha 90.00
_cell_angle_beta 90.00
_cell_angle_gamma 90.00
_symmetry_space_group_name_H-M 'P 1'
_symmetry_Int_Tables_number 1
_symmetry_space_group_name_Hall 'P 1'
loop_
_atom_site_label
_atom_site_type_symbol
_atom_site_fract_x
_atom_site_fract_y
_atom_site_fract_z
_atom_site_occupancy
Pr1 Pr 0.500 0.000 0.238 1
Pr2 Pr 0.000 0.500 0.762 1
Te1 Te 0.000 0.500 0.366 1
Te2 Te 0.500 0.000 0.634 1
Cl1 Cl 0.000 0.000 0.000 1
Cl2 Cl 0.500 0.500 0.000 1
```

## Properties
Total magnetization = 0.00 Bohr magnetons per cell
DOS at the Fermi energy = 0.01 states/eV/f.u.
Uncorrected formation energy = -1875 meV/atom
Space group = P4/nmm, No. 129



# 10
A plane-wave DFT calculation with PBEsol was carried out for an optimized crystal structure of MnFe.

Cell and atoms, written as CIF:
```
data_MnFe
_chemical_formula_sum 'Mn4 Fe4'
_cell_length_a 3.873
_cell_length_b 4.227
_cell_length_c 4.880
_cell_angle_alpha 90.00
_cell_angle_beta 90.00
_cell_angle_gamma 90.00
_symmetry_space_group_name_H-M 'P 1'
_symmetry_Int_Tables_number 1
_symmetry_space_group_name_Hall 'P 1'
loop_
_atom_site_label
_atom_site_type_symbol
_atom_site_fract_x
_atom_site_fract_y
_atom_site_fract_z
_atom_site_occupancy
Mn1 Mn 0.750 0.915 0.376 1
Mn2 Mn 0.750 0.415 0.124 1
Mn3 Mn 0.250 0.585 0.876 1
Mn4 Mn 0.250 0.085 0.624 1
Fe1 Fe 0.750 0.416 0.626 1
Fe2 Fe 0.250 0.084 0.126 1
Fe3 Fe 0.250 0.584 0.374 1
Fe4 Fe 0.750 0.916 0.874 1
```

## Properties
Total magnetization = 0.00 Bohr magnetons per cell
DOS at the Fermi energy = 2.38 states/eV/f.u.
Energy of formation = -0.019 eV/atom
Space group = Pnma, No. 62



Look up the DOS at the Fermi energy of the sixth one.
3.09 states/eV/f.u.



Repeat the eighth record exactly.
A plane-wave DFT calculation with PBEsol was carried out for an optimized crystal structure of Al3TlPb.

Cell and atoms, written as CIF:
```
data_Al3TlPb
_chemical_formula_sum 'Al3 Tl1 Pb1'
_cell_length_a 5.192
_cell_length_b 5.192
_cell_length_c 5.192
_cell_angle_alpha 90.00
_cell_angle_beta 90.00
_cell_angle_gamma 90.00
_symmetry_space_group_name_H-M 'P 1'
_symmetry_Int_Tables_number 1
_symmetry_space_group_name_Hall 'P 1'
loop_
_atom_site_label
_atom_site_type_symbol
_atom_site_fract_x
_atom_site_fract_y
_atom_site_fract_z
_atom_site_occupancy
Al1 Al 0.500 0.000 0.000 1
Al2 Al 0.000 0.500 0.000 1
Al3 Al 0.000 0.000 0.500 1
Pb1 Pb 0.500 0.500 0.500 1
Tl1 Tl 0.000 0.000 0.000 1
```

## Properties
Total magnetization = 0.00 Bohr magnetons per cell
DOS at the Fermi energy = 3.08 states/eV/f.u.
Energy of formation = 0.825 eV/atom
Space group = Pm-3m, No. 221